First-principles (PBE) data for a geometry-optimized LaTc3 structure, as listed in the Alexandria database.

- Final energy: -8.526 eV/atom
- Mass density: 9.58 g cm⁻³
- Size of the total moment: 0.00 μB/cell
- Formation energy: 0.480 eV per atom
- D(E_F): 5.2 states/eV per cell

a b c (Å): 2.9651 4.2152 6.0022
angles (deg): 90.00 90.00 90.00
With the nearest neighbours (Å) after each atom.
Fractional positions:
La (0.0000, 0.0000, 0.0000)  6 Tc 2.91-3.10, 2 La 2.97
Tc (0.0000, 0.5000, 0.3341)  8 Tc 2.72-2.97, 2 La 2.91
Tc (0.5000, 0.0000, 0.4898)  6 Tc 2.50-2.74
Tc (0.5000, 0.5000, 0.7140)  4 Tc 2.50-2.72



First-principles (PBE) data for a geometry-optimized Ba2InHgSe5 structure, as listed in the Alexandria database.

- Final energy: -3.729 eV/atom
- Mass density: 5.84 g cm⁻³
- Energy relative to the elements, uncorrected: -9.251 eV/f.u.
- Size of the total moment: 0.01 μB/cell
- D(E_F): 15.3 states/eV per cell

a b c (Å): 10.3002 10.3002 12.8498
angles (deg): 90.00 90.00 155.72
With the nearest neighbours (Å) after each atom.
Fractional positions:
Ba (0.1135, 0.8865, 0.5000)  6 Se 3.24-3.47
Ba (0.1188, 0.8812, 0.1232)  7 Se 3.28-3.42
Ba (0.8812, 0.1188, 0.6232)  7 Se 3.28-3.42
Ba (0.8865, 0.1135, 0.0000)  6 Se 3.24-3.47
In (0.4326, 0.5674, 0.2757)  4 Se 2.59-2.70
In (0.5674, 0.4326, 0.7757)  4 Se 2.59-2.70
Hg (0.2386, 0.7614, 0.8513)  5 Se 2.67-2.90
Hg (0.7614, 0.2386, 0.3513)  5 Se 2.67-2.90
Se (0.0430, 0.9570, 0.8859)  2 In 2.63
Se (0.2789, 0.7211, 0.4941)  2 Hg 2.86
Se (0.3040, 0.6960, 0.2163)  1 In 2.70, 2 Hg 2.90
Se (0.3693, 0.6307, 0.8142)  1 Hg 2.67
Se (0.4928, 0.5072, 0.0979)  1 In 2.59
Se (0.5072, 0.4928, 0.5979)  1 In 2.59
Se (0.6307, 0.3693, 0.3142)  1 Hg 2.67
Se (0.6960, 0.3040, 0.7163)  1 In 2.70, 2 Hg 2.90
Se (0.7211, 0.2789, 0.9941)  2 Hg 2.86
Se (0.9570, 0.0430, 0.3859)  2 In 2.63



First-principles (PBE) data for a geometry-optimized Fe2SnTe structure, as listed in the Alexandria database.

- Final energy: -5.416 eV/atom
- Mass density: 7.15 g cm⁻³
- ΔE to the lowest computed polymorph: 167 meV per atom
- Energy relative to the elements, uncorrected: 2.407 eV/f.u.
- Size of the total moment: 12.23 μB/cell
- D(E_F): 12.8 states/eV per cell

a b c (Å): 6.0346 6.0346 6.0346
angles (deg): 105.33 105.33 118.12
With the nearest neighbours (Å) after each atom.
Fractional positions:
Fe (0.1139, 0.1250, 0.4889)  2 Te 2.65, 2 Sn 2.76
Fe (0.3750, 0.8861, 0.0111)  2 Te 2.65, 2 Sn 2.76
Fe (0.6361, 0.6250, 0.5111)  2 Te 2.65, 2 Sn 2.76
Fe (0.8750, 0.3639, 0.9889)  2 Te 2.65, 2 Sn 2.76
Sn (0.2500, 0.7500, 0.5000)  4 Fe 2.76
Sn (0.5000, 0.5000, 0.0000)  4 Fe 2.76
Te (0.0000, 0.0000, 0.0000)  4 Fe 2.65
Te (0.7500, 0.2500, 0.5000)  4 Fe 2.65



First-principles (PBE) data for a geometry-optimized SmY5Tm12 structure, as listed in the Alexandria database.

- Final energy: -4.915 eV/atom
- Mass density: 7.75 g cm⁻³
- Size of the total moment: 0.00 μB/cell
- Formation energy: 0.124 eV per atom
- D(E_F): 40.4 states/eV per cell

a b c (Å): 10.2190 10.2190 5.9043
angles (deg): 90.06 90.06 114.31
With the nearest neighbours (Å) after each atom.
Fractional positions:
Sm (0.0000, 0.0000, 0.0000)  8 Tm 3.30-3.62
Y (0.1663, 0.8337, 0.5000)  8 Tm 3.31-3.62
Y (0.3340, 0.6660, 0.0000)  8 Tm 3.30-3.62
Y (0.5000, 0.5000, 0.5000)  8 Tm 3.30-3.61
Y (0.6660, 0.3340, 0.0000)  8 Tm 3.30-3.62
Y (0.8337, 0.1663, 0.5000)  8 Tm 3.31-3.62
Tm (0.0069, 0.3418, 0.0453)  3 Y 3.31-3.62, 4 Tm 3.34-3.40, 1 Sm 3.47
Tm (0.1592, 0.4930, 0.5455)  4 Y 3.30-3.62, 4 Tm 3.36-3.40
Tm (0.1756, 0.1756, 0.4523)  1 Sm 3.30, 4 Tm 3.36-3.39, 3 Y 3.47-3.61
Tm (0.3251, 0.3251, 0.9527)  3 Y 3.30-3.46, 4 Tm 3.37-3.39, 1 Sm 3.62
Tm (0.3418, 0.0069, 0.0453)  3 Y 3.31-3.62, 4 Tm 3.34-3.40, 1 Sm 3.47
Tm (0.4930, 0.1592, 0.5455)  4 Y 3.30-3.62, 4 Tm 3.36-3.40
Tm (0.5070, 0.8408, 0.4545)  4 Y 3.30-3.62, 4 Tm 3.36-3.40
Tm (0.6582, 0.9931, 0.9547)  3 Y 3.31-3.62, 4 Tm 3.34-3.40, 1 Sm 3.47
Tm (0.6749, 0.6749, 0.0473)  3 Y 3.30-3.46, 4 Tm 3.37-3.39, 1 Sm 3.62
Tm (0.8244, 0.8244, 0.5477)  1 Sm 3.30, 4 Tm 3.36-3.39, 3 Y 3.47-3.61
Tm (0.8408, 0.5070, 0.4545)  4 Y 3.30-3.62, 4 Tm 3.36-3.40
Tm (0.9931, 0.6582, 0.9547)  3 Y 3.31-3.62, 4 Tm 3.34-3.40, 1 Sm 3.47



First-principles (PBE) data for a geometry-optimized AcAl6Cu4 structure, as listed in the Alexandria database.

- Final energy: -4.221 eV/atom
- Mass density: 5.83 g cm⁻³
- Size of the total moment: 0.00 μB/cell
- Formation energy: -0.317 eV per atom
- D(E_F): 3.9 states/eV per cell

a b c (Å): 7.1862 7.1862 4.0950
angles (deg): 90.00 90.00 120.00
With the nearest neighbours (Å) after each atom.
Fractional positions:
Ac (0.0000, 0.0000, 0.0000)  12 Al 3.27-3.62, 6 Cu 3.32
Al (0.2045, 0.4090, 0.5000)  4 Cu 2.58-2.60, 2 Al 2.78
Al (0.2045, 0.7955, 0.5000)  4 Cu 2.58-2.60, 2 Al 2.78
Al (0.5346, 0.0692, 0.0000)  5 Cu 2.51-2.59
Al (0.5346, 0.4654, 0.0000)  5 Cu 2.51-2.59
Al (0.5910, 0.7955, 0.5000)  4 Cu 2.58-2.60, 2 Al 2.78
Al (0.9308, 0.4654, 0.0000)  5 Cu 2.51-2.59
Cu (0.3333, 0.6667, 0.0000)  9 Al 2.51-2.60
Cu (0.4201, 0.2101, 0.5000)  6 Al 2.58-2.59, 2 Cu 2.66
Cu (0.7899, 0.2101, 0.5000)  6 Al 2.58-2.59, 2 Cu 2.66
Cu (0.7899, 0.5799, 0.5000)  6 Al 2.58-2.59, 2 Cu 2.66



First-principles (PBE) data for a geometry-optimized PaPb structure, as listed in the Alexandria database.

- Final energy: -6.374 eV/atom
- Mass density: 13.00 g cm⁻³
- ΔE to the lowest computed polymorph: 0 meV per atom
- Size of the total moment: 1.76 μB/cell
- Formation energy: 0.228 eV per atom
- D(E_F): 5.1 states/eV per cell

a b c (Å): 3.8255 3.8255 3.8255
angles (deg): 90.00 90.00 90.00
With the nearest neighbours (Å) after each atom.
Fractional positions:
Pa (0.0000, 0.0000, 0.0000)  8 Pb 3.31
Pb (0.5000, 0.5000, 0.5000)  8 Pa 3.31



First-principles (PBE) data for a geometry-optimized Y6Ho3Tm2Mg structure, as listed in the Alexandria database.

- Final energy: -5.218 eV/atom
- Mass density: 6.21 g cm⁻³
- Size of the total moment: 0.00 μB/cell
- Formation energy: 0.037 eV per atom
- D(E_F): 18.3 states/eV per cell

a b c (Å): 6.1224 6.1224 11.6384
angles (deg): 95.07 95.07 120.02
With the nearest neighbours (Å) after each atom.
Fractional positions:
Y (0.0818, 0.4148, 0.2473)  1 Mg 3.49, 2 Tm 3.49-3.50, 6 Y 3.53-3.54, 3 Ho 3.54-3.55
Y (0.2514, 0.2514, 0.7518)  2 Tm 3.49, 1 Mg 3.50, 3 Ho 3.53, 6 Y 3.53-3.54
Y (0.4148, 0.0818, 0.2473)  1 Mg 3.49, 2 Tm 3.49-3.50, 6 Y 3.53-3.54, 3 Ho 3.54-3.55
Y (0.5852, 0.9182, 0.7527)  1 Mg 3.49, 2 Tm 3.49-3.50, 6 Y 3.53-3.54, 3 Ho 3.54-3.55
Y (0.7486, 0.7486, 0.2482)  2 Tm 3.49, 1 Mg 3.50, 3 Ho 3.53, 6 Y 3.53-3.54
Y (0.9182, 0.5852, 0.7527)  1 Mg 3.49, 2 Tm 3.49-3.50, 6 Y 3.53-3.54, 3 Ho 3.54-3.55
Ho (0.1659, 0.8341, 0.5000)  6 Ho 3.52-3.54, 6 Y 3.53-3.55
Ho (0.5000, 0.5000, 0.5000)  6 Ho 3.53-3.54, 6 Y 3.53-3.54
Ho (0.8341, 0.1659, 0.5000)  6 Ho 3.52-3.54, 6 Y 3.53-3.55
Tm (0.3337, 0.6663, 0.0000)  6 Y 3.49-3.50, 3 Tm 3.53-3.54, 3 Mg 3.53-3.54
Tm (0.6663, 0.3337, 0.0000)  6 Y 3.49-3.50, 3 Tm 3.53-3.54, 3 Mg 3.53-3.54
Mg (0.0000, 0.0000, 0.0000)  6 Y 3.49-3.50, 6 Tm 3.53-3.54



First-principles (PBE) data for a geometry-optimized AlFe14Ge structure, as listed in the Alexandria database.

- Final energy: -7.989 eV/atom
- Mass density: 7.82 g cm⁻³
- Size of the total moment: 31.01 μB/cell
- Formation energy: -0.062 eV per atom
- D(E_F): 12.8 states/eV per cell

a b c (Å): 4.9550 4.9550 8.0143
angles (deg): 90.00 90.00 107.90
With the nearest neighbours (Å) after each atom.
Fractional positions:
Al (0.0000, 0.0000, 0.0000)  8 Fe 2.48-2.51
Fe (0.0000, 0.0000, 0.5000)  8 Fe 2.45-2.48
Fe (0.0000, 0.5000, 0.0000)  4 Fe 2.47, 2 Ge 2.48, 2 Al 2.48
Fe (0.0000, 0.5000, 0.5000)  8 Fe 2.48-2.49
Fe (0.2482, 0.7518, 0.2483)  8 Fe 2.47-2.49
Fe (0.2482, 0.7518, 0.7517)  8 Fe 2.47-2.49
Fe (0.2514, 0.2514, 0.2548)  6 Fe 2.44-2.49, 1 Ge 2.50, 1 Al 2.51
Fe (0.2514, 0.2514, 0.7452)  6 Fe 2.44-2.49, 1 Ge 2.50, 1 Al 2.51
Fe (0.5000, 0.0000, 0.0000)  4 Fe 2.47, 2 Ge 2.48, 2 Al 2.48
Fe (0.5000, 0.0000, 0.5000)  8 Fe 2.48-2.49
Fe (0.5000, 0.5000, 0.5000)  8 Fe 2.44-2.48
Fe (0.7486, 0.7486, 0.2548)  6 Fe 2.44-2.49, 1 Ge 2.50, 1 Al 2.51
Fe (0.7486, 0.7486, 0.7452)  6 Fe 2.44-2.49, 1 Ge 2.50, 1 Al 2.51
Fe (0.7518, 0.2482, 0.2483)  8 Fe 2.47-2.49
Fe (0.7518, 0.2482, 0.7517)  8 Fe 2.47-2.49
Ge (0.5000, 0.5000, 0.0000)  8 Fe 2.48-2.50